Entry 1:
DFT (PBE) results for an optimized crystal structure of Nb2SO.

```
Nb2SO
1.0
-2.263 2.263 6.458
2.263 -2.263 6.458
2.263 2.263 -6.458
Nb S O
4 2 2
Direct
0.056 0.625 0.931
0.375 0.306 0.431
0.694 0.125 0.069
0.875 0.944 0.569
0.250 0.750 0.500
0.500 0.500 0.000
0.000 0.000 0.000
0.750 0.250 0.500
```

Properties
energy relative to the elements, uncorrected	-0.9145	eV per atom
symmetry	No. 122

***

Entry 2:
DFT (PBE) results for an optimized crystal structure of ScSbS3.

```
ScSbS3
1.0
4.972 0.000 0.000
0.000 4.972 0.000
0.000 0.000 4.972
Sc Sb S
1 1 3
Direct
0.000 0.000 0.000
0.500 0.500 0.500
0.000 0.500 0.500
0.500 0.000 0.500
0.500 0.500 0.000
```

Properties
energy relative to the elements, uncorrected	-0.0468	eV per atom
symmetry	No. 221

***

Entry 3:
DFT (PBE) results for an optimized crystal structure of Tl2ReW.

```
Tl2ReW
1.0
1.510 -2.618 0.000
1.510 2.618 0.000
0.000 0.000 9.774
Tl Re W
2 1 1
Direct
0.000 0.000 0.246
0.000 0.000 0.754
0.500 0.500 0.000
0.500 0.500 0.500
```

Properties
energy relative to the elements	1.199	eV per atom
symmetry	No. 65

***

Entry 4:
DFT (PBE) results for an optimized crystal structure of LiSmTh2.

```
LiSmTh2
1.0
3.525 0.000 0.000
0.000 3.525 0.000
0.000 0.000 9.475
Li Sm Th
1 1 2
Direct
0.000 0.000 0.000
0.000 0.000 0.500
0.500 0.500 0.226
0.500 0.500 0.774
```

Properties
energy relative to the elements	0.182	eV per atom
symmetry	No. 123

***

Entry 5:
DFT (PBE) results for an optimized crystal structure of Li2PmGaAu4.

```
Li2PmGaAu4
1.0
2.240 1.293 8.725
-2.240 1.293 8.725
0.000 -2.586 8.725
Li Pm Ga Au
2 1 1 4
Direct
0.237 0.237 0.237
0.763 0.763 0.763
0.000 0.000 0.000
0.500 0.500 0.500
0.128 0.128 0.128
0.398 0.398 0.398
0.602 0.602 0.602
0.872 0.872 0.872
```

Properties
energy relative to the elements	-0.567	eV per atom
symmetry	No. 166

***

Entry 6:
DFT (PBE) results for an optimized crystal structure of LiAcTbLu.

```
LiAcTbLu
1.0
0.000 3.998 3.998
3.998 0.000 3.998
3.998 3.998 0.000
Li Ac Tb Lu
1 1 1 1
Direct
0.000 0.000 0.000
0.750 0.750 0.750
0.250 0.250 0.250
0.500 0.500 0.500
```

Properties
energy relative to the elements	0.158	eV per atom
symmetry	No. 216

***

Entry 7:
DFT (PBE) results for an optimized crystal structure of AlSiPdRh.

```
AlSiPdRh
1.0
0.000 3.027 3.027
3.027 0.000 3.027
3.027 3.027 0.000
Al Si Pd Rh
1 1 1 1
Direct
0.000 0.000 0.000
0.500 0.500 0.500
0.250 0.250 0.250
0.750 0.750 0.750
```

Properties
energy relative to the elements, uncorrected	-0.6563	eV per atom
symmetry	No. 216

***

Entry 8:
DFT (PBE) results for an optimized crystal structure of Y4Bi2Ru.

```
Y4Bi2Ru
1.0
7.047 0.000 0.000
0.000 6.571 0.000
-1.903 0.000 8.510
Y Bi Ru
8 4 2
Direct
0.153 0.007 0.300
0.153 0.493 0.300
0.298 0.250 0.920
0.313 0.750 0.664
0.687 0.250 0.336
0.702 0.750 0.080
0.847 0.507 0.700
0.847 0.993 0.700
0.178 0.750 0.980
0.448 0.250 0.610
0.552 0.750 0.390
0.822 0.250 0.020
0.048 0.250 0.558
0.952 0.750 0.442
```

Properties
energy relative to the elements	-0.536	eV per atom
symmetry	No. 11

***

Entry 9:
DFT (PBE) results for an optimized crystal structure of Mn2AlRh.

```
Mn2AlRh
1.0
-1.905 1.905 3.840
1.905 -1.905 3.840
1.905 1.905 -3.840
Mn Al Rh
2 1 1
Direct
0.250 0.750 0.500
0.750 0.250 0.500
0.000 0.000 0.000
0.500 0.500 0.000
```

Properties
energy relative to the elements	-0.217	eV per atom
symmetry	No. 139

***

Entry 10:
DFT (PBE) results for an optimized crystal structure of GaTcGe3.

```
GaTcGe3
1.0
4.835 0.000 0.000
0.000 4.835 0.000
0.000 0.000 4.835
Ga Tc Ge
1 1 3
Direct
0.000 0.000 0.000
0.500 0.500 0.500
0.000 0.500 0.500
0.500 0.000 0.500
0.500 0.500 0.000
```

Properties
energy relative to the elements	0.309	eV per atom
symmetry	No. 221

***

Entry 11:
DFT (PBE) results for an optimized crystal structure of Ti2GaSe.

```
Ti2GaSe
1.0
1.650 0.953 7.436
-1.650 0.953 7.436
0.000 -1.905 7.436
Ti Ga Se
2 1 1
Direct
0.000 0.000 0.000
0.179 0.179 0.179
0.757 0.757 0.757
0.589 0.589 0.589
```

Properties
energy relative to the elements, uncorrected	-0.5568	eV per atom
symmetry	No. 160

***

Entry 12:
DFT (PBE) results for an optimized crystal structure of AlP2Cl.

```
AlP2Cl
1.0
2.304 -5.780 0.000
2.304 5.780 0.000
0.000 0.000 2.773
Al P Cl
1 2 1
Direct
0.000 0.000 0.000
0.000 0.500 0.500
0.500 0.000 0.500
0.500 0.500 0.000
```

Properties
energy relative to the elements, uncorrected	0.2909	eV per atom
symmetry	No. 65

***

Entry 13:
DFT (PBE) results for an optimized crystal structure of CoTcSe2.

```
CoTcSe2
1.0
-1.715 1.934 6.580
1.715 -1.934 6.580
1.715 1.934 -6.580
Co Tc Se
1 1 2
Direct
0.000 0.000 0.000
0.500 0.500 0.000
0.127 0.627 0.500
0.873 0.373 0.500
```

Properties
energy relative to the elements, uncorrected	-0.0372	eV per atom
symmetry	No. 71

***

Entry 14:
DFT (PBE) results for an optimized crystal structure of Tb2SbN.

```
Tb2SbN
1.0
7.196 0.000 0.000
0.000 4.093 0.000
0.000 0.000 12.983
Tb Sb N
8 4 4
Direct
0.109 0.250 0.231
0.179 0.250 0.964
0.321 0.750 0.464
0.391 0.750 0.731
0.609 0.250 0.269
0.679 0.250 0.536
0.821 0.750 0.036
0.891 0.750 0.769
0.105 0.250 0.635
0.395 0.750 0.135
0.605 0.250 0.865
0.895 0.750 0.365
0.053 0.750 0.910
0.447 0.250 0.410
0.553 0.750 0.590
0.947 0.250 0.090
```

Properties
energy relative to the elements, uncorrected	-1.3166	eV per atom
symmetry	No. 62

***

Entry 15:
DFT (PBE) results for an optimized crystal structure of Na6LiAu.

```
Na6LiAu
1.0
4.193 0.000 0.000
0.000 5.324 5.320
0.000 -5.324 5.320
Na Li Au
6 1 1
Direct
0.000 0.000 0.000
0.000 0.428 0.992
0.000 0.992 0.428
0.500 0.228 0.679
0.500 0.679 0.228
0.500 0.704 0.704
0.000 0.410 0.410
0.500 0.253 0.253
```

Properties
energy relative to the elements	-0.092	eV per atom
symmetry	No. 38

***

Entry 16:
DFT (PBE) results for an optimized crystal structure of BaSrEuY.

```
BaSrEuY
1.0
0.000 4.492 4.492
4.492 0.000 4.492
4.492 4.492 0.000
Ba Sr Eu Y
1 1 1 1
Direct
0.000 0.000 0.000
0.750 0.750 0.750
0.250 0.250 0.250
0.500 0.500 0.500
```

Properties
energy relative to the elements	0.186	eV per atom
symmetry	No. 216

***

Entry 17:
DFT (PBE) results for an optimized crystal structure of Cu5SiGe.

```
Cu5SiGe
1.0
3.284 -2.602 0.000
3.284 2.602 0.000
0.000 0.000 10.844
Cu Si Ge
10 2 2
Direct
0.056 0.944 0.750
0.139 0.454 0.604
0.139 0.454 0.896
0.454 0.139 0.104
0.454 0.139 0.396
0.546 0.861 0.604
0.546 0.861 0.896
0.861 0.546 0.104
0.861 0.546 0.396
0.944 0.056 0.250
0.000 0.000 0.000
0.000 0.000 0.500
0.398 0.602 0.250
0.602 0.398 0.750
```

Properties
energy relative to the elements, uncorrected	0.0323	eV per atom
symmetry	No. 63

***

Entry 18:
DFT (PBE) results for an optimized crystal structure of Tm6GaRu2.

```
Tm6GaRu2
1.0
-4.573 4.598 5.160
4.573 -4.598 5.160
4.573 4.598 -5.160
Tm Ga Ru
12 2 4
Direct
0.044 0.243 0.801
0.180 0.285 0.464
0.180 0.715 0.895
0.334 0.023 0.689
0.334 0.645 0.311
0.441 0.243 0.199
0.559 0.757 0.801
0.666 0.355 0.689
0.666 0.977 0.311
0.820 0.285 0.105
0.820 0.715 0.536
0.956 0.757 0.199
0.000 0.000 0.000
0.500 0.500 0.000
0.133 0.633 0.500
0.320 0.000 0.320
0.680 0.000 0.680
0.867 0.367 0.500
```

Properties
energy relative to the elements	-0.429	eV per atom
symmetry	No. 71

***

Entry 19:
DFT (PBE) results for an optimized crystal structure of La2InAg3.

```
La2InAg3
1.0
0.000 4.968 8.643
3.545 0.000 8.643
3.545 4.968 0.000
La In Ag
4 2 6
Direct
0.241 0.759 0.759
0.250 0.250 0.250
0.750 0.750 0.750
0.759 0.241 0.241
0.334 0.334 0.666
0.666 0.666 0.334
0.167 0.167 0.833
0.168 0.667 0.333
0.333 0.832 0.168
0.667 0.168 0.832
0.832 0.333 0.667
0.833 0.833 0.167
```

Properties
energy relative to the elements	-0.345	eV per atom
symmetry	No. 69

***

| no. | total magnetic moment (μB/cell) | energy (eV/atom) | density (g/cm³) |
| --- | --- | --- | --- |
| 1 | 0.00 | -8.221 | 5.872 |
| 2 | 0.29 | -4.614 | 3.551 |
| 3 | 0.01 | -6.335 | 16.737 |
| 4 | 0.00 | -5.186 | 8.766 |
| 5 | 0.00 | -3.657 | 11.131 |
| 6 | 0.00 | -3.635 | 7.376 |
| 7 | 0.00 | -6.084 | 7.916 |
| 8 | 0.00 | -6.664 | 7.371 |
| 9 | 6.83 | -7.576 | 7.143 |
| 10 | 0.00 | -5.140 | 5.666 |
| 11 | 0.00 | -6.132 | 5.788 |
| 12 | 0.00 | -3.811 | 2.797 |
| 13 | 1.96 | -6.147 | 5.989 |
| 14 | 0.00 | -6.744 | 7.878 |
| 15 | 0.00 | -1.730 | 2.390 |
| 16 | 7.32 | -4.900 | 4.267 |
| 17 | 0.00 | -4.328 | 7.499 |
| 18 | 0.00 | -5.808 | 9.835 |
| 19 | 0.00 | -3.869 | 7.812 |